The following is a PBE calculation of a geometry-optimized HfTe2Rh structure, from Alexandria.

Geometry as POSCAR:
```
HfTe2Rh
1.0
0.000 3.470 3.470
3.470 0.000 3.470
3.470 3.470 0.000
Hf Te Rh
1 2 1
direct
0.000 0.000 0.000 Hf
0.250 0.250 0.250 Te
0.750 0.750 0.750 Te
0.500 0.500 0.500 Rh
```

Computed properties:
* excess energy over the best structure of this formula in the dataset: 0 kJ/mol of formula units
* ΔE_f (raw): -23 kJ per mole of atoms

The following is a PBE calculation of a geometry-optimized La3SiNi structure, from Alexandria.

Geometry as POSCAR:
```
La3SiNi
1.0
4.180 0.000 0.000
0.000 9.613 0.000
0.000 0.000 6.765
La Si Ni
6 2 2
direct
0.250 0.052 0.232 La
0.250 0.250 0.690 La
0.250 0.448 0.232 La
0.750 0.552 0.768 La
0.750 0.750 0.310 La
0.750 0.948 0.768 La
0.250 0.750 0.976 Si
0.750 0.250 0.024 Si
0.250 0.750 0.620 Ni
0.750 0.250 0.380 Ni
```

Computed properties:
* excess energy over the best structure of this formula in the dataset: 0 kJ/mol of formula units
* ΔE_f (raw): -38 kJ per mole of atoms

The following is a PBE calculation of a geometry-optimized Li2Ti2Si structure, from Alexandria.

Geometry as POSCAR:
```
Li2Ti2Si
1.0
6.475 0.000 0.000
0.000 6.475 0.000
0.000 0.000 4.521
Li Ti Si
4 4 2
direct
0.166 0.334 0.000 Li
0.334 0.834 0.000 Li
0.666 0.166 0.000 Li
0.834 0.666 0.000 Li
0.142 0.642 0.500 Ti
0.358 0.142 0.500 Ti
0.642 0.858 0.500 Ti
0.858 0.358 0.500 Ti
0.000 0.000 0.500 Si
0.500 0.500 0.500 Si
```

Computed properties:
* excess energy over the best structure of this formula in the dataset: 22 kJ/mol of formula units
* ΔE_f (raw): 26 kJ per mole of atoms

The following is a PBE calculation of a geometry-optimized PrNdTm3Th structure, from Alexandria.

Geometry as POSCAR:
```
PrNdTm3Th
1.0
9.793 -2.812 0.000
9.793 2.812 0.000
-0.022 0.000 7.102
Pr Nd Tm Th
2 2 6 2
direct
0.147 0.147 0.459 Pr
0.853 0.853 0.541 Pr
0.149 0.149 0.038 Nd
0.851 0.851 0.962 Nd
0.024 0.024 0.753 Tm
0.279 0.279 0.748 Tm
0.343 0.343 0.247 Tm
0.657 0.657 0.753 Tm
0.721 0.721 0.252 Tm
0.976 0.976 0.247 Tm
0.447 0.447 0.760 Th
0.553 0.553 0.240 Th
```

Computed properties:
* E: -0.3559 Ry/atom

The following is a PBE calculation of a geometry-optimized PmTmSi2Pt2 structure, from Alexandria.

Geometry as POSCAR:
```
PmTmSi2Pt2
1.0
4.163 0.000 0.000
-2.081 3.605 0.000
0.000 0.000 8.128
Pm Tm Si Pt
1 1 2 2
direct
0.000 0.000 0.000 Pm
0.000 0.000 0.500 Tm
0.333 0.667 0.743 Si
0.667 0.333 0.257 Si
0.333 0.667 0.265 Pt
0.667 0.333 0.735 Pt
```

Computed properties:
* ΔE_f (raw): -110 kJ per mole of atoms

The following is a PBE calculation of a geometry-optimized Ba2TlSnRh structure, from Alexandria.

Geometry as POSCAR:
```
Ba2TlSnRh
1.0
6.048 0.000 0.000
0.000 6.048 0.000
0.000 0.000 5.135
Ba Tl Sn Rh
2 1 1 1
direct
0.000 0.500 0.000 Ba
0.500 0.000 0.000 Ba
0.000 0.000 0.500 Tl
0.500 0.500 0.500 Sn
0.500 0.500 0.000 Rh
```

Computed properties:
* E: -0.2842 Ry/atom

D(E_F) for the records above, in order: 0.941, 1.125, 0.892, 1.342, 0.752, 1.056 states/eV/atom